# CrTcIrF2

A geometry-optimized CrTcIrF2 structure (PBE with a Hubbard U, Alexandria via LeMat-Bulk).

Electronic total energy = -6.637 eV/atom
DOS at the Fermi energy = 3.624 states/eV per cell
Spin magnetization = 5.38 Bohr magnetons per cell
Space-group type = P4/mmm (123)

Cell: 3.7231 3.7231 5.8623 Å, 90.00 90.00 90.00°
With the nearest neighbours (Å) after each atom.
Fractional coordinates of all 5 atoms:
Cr  0.0000  0.0000  0.0000  4 F 1.86
Tc  0.5000  0.5000  0.5000  4 Ir 2.63
Ir  0.0000  0.0000  0.5000  4 Tc 2.63, 2 Cr 2.93
F  0.0000  0.5000  0.0000  2 Cr 1.86
F  0.5000  0.0000  0.0000  2 Cr 1.86